[1]
Below is an optimized crystal structure of B2P, with properties calculated at the GGA-PBE level.

Computed properties:
Energy of formation from the pure elements (eV/atom): 0.00
Total DFT energy (no corrections) (hartree per atom): -0.2299
SG: No. 8

Cell and atoms, written as POSCAR:
```
B2P
1.0
2.726 -1.574 0.000
2.726 1.574 0.000
-0.033 0.000 6.923
B P
4 2
Direct
0.000 0.000 0.000 B
0.167 0.167 0.625 B
0.334 0.334 0.391 B
0.509 0.509 0.626 B
0.336 0.336 0.900 P
0.998 0.998 0.287 P
```

=====

[2]
Below is an optimized crystal structure of B2P, with properties calculated at the GGA-PBE level.

Computed properties:
Energy of formation from the pure elements (eV/atom): -0.01
Total DFT energy (no corrections) (hartree per atom): -0.2302
SG: No. 8

Cell and atoms, written as POSCAR:
```
B2P
1.0
2.737 -1.568 0.000
2.737 1.568 0.000
-1.631 0.000 6.922
B P
4 2
Direct
0.000 0.000 0.000 B
0.308 0.308 0.372 B
0.546 0.546 0.611 B
0.646 0.646 0.382 B
0.366 0.366 0.100 P
0.914 0.914 0.716 P
```

=====

[3]
Below is an optimized crystal structure of B3P, with properties calculated at the GGA-PBE level.

Computed properties:
Energy of formation from the pure elements (eV/atom): 0.18
Total DFT energy (no corrections) (hartree per atom): -0.2270
SG: No. 8

Cell and atoms, written as POSCAR:
```
B3P
1.0
2.249 -2.195 0.000
2.249 2.195 0.000
-2.011 0.000 3.948
B P
3 1
Direct
0.000 0.000 0.000 B
0.401 0.807 0.792 B
0.807 0.401 0.792 B
0.149 0.149 0.484 P
```

=====

[4]
Below is an optimized crystal structure of B2P, with properties calculated at the GGA-PBE level.

Computed properties:
Energy of formation from the pure elements (eV/atom): 0.02
Total DFT energy (no corrections) (hartree per atom): -0.2292
SG: No. 12

Cell and atoms, written as POSCAR:
```
B2P
1.0
2.743 -1.565 0.000
2.743 1.565 0.000
-1.604 0.000 6.931
B P
4 2
Direct
0.073 0.073 0.238 B
0.162 0.162 0.003 B
0.838 0.838 0.997 B
0.927 0.927 0.762 B
0.437 0.437 0.337 P
0.563 0.563 0.663 P
```

=====

[5]
Below is an optimized crystal structure of B2P, with properties calculated at the GGA-PBE level.

Computed properties:
Energy of formation from the pure elements (eV/atom): 0.07
Total DFT energy (no corrections) (hartree per atom): -0.2274
SG: No. 1

Cell and atoms, written as POSCAR:
```
B2P
1.0
3.158 0.000 0.000
1.289 4.441 0.000
1.531 1.012 4.350
B P
4 2
Direct
0.000 0.000 0.000 B
0.112 0.226 0.626 B
0.446 0.514 0.488 B
0.799 0.617 0.650 B
0.586 0.733 0.046 P
0.815 0.070 0.412 P
```

=====

[6]
Below is an optimized crystal structure of B3P, with properties calculated at the GGA-PBE level.

Computed properties:
Energy of formation from the pure elements (eV/atom): 0.16
Total DFT energy (no corrections) (hartree per atom): -0.2279
SG: No. 8

Cell and atoms, written as POSCAR:
```
B3P
1.0
2.719 -1.547 0.000
2.719 1.547 0.000
-2.040 0.000 4.280
B P
3 1
Direct
0.000 0.000 0.000 B
0.023 0.023 0.614 B
0.694 0.694 0.636 B
0.726 0.726 0.178 P
```

=====

[7]
Below is an optimized crystal structure of B2P, with properties calculated at the GGA-PBE level.

Computed properties:
Energy of formation from the pure elements (eV/atom): 0.10
Total DFT energy (no corrections) (hartree per atom): -0.2261
SG: No. 6

Cell and atoms, written as POSCAR:
```
B2P
1.0
3.162 0.000 0.000
0.000 3.047 0.000
-0.694 0.000 6.502
B P
4 2
Direct
0.000 0.000 0.000 B
0.152 0.000 0.550 B
0.424 0.500 0.626 B
0.626 0.000 0.459 B
0.537 0.000 0.163 P
0.957 0.500 0.809 P
```

=====

[8]
Below is an optimized crystal structure of BP2, with properties calculated at the GGA-PBE level.

Computed properties:
Energy of formation from the pure elements (eV/atom): 0.12
Total DFT energy (no corrections) (hartree per atom): -0.2101
SG: No. 119

Cell and atoms, written as POSCAR:
```
BP2
1.0
-1.593 1.593 4.300
1.593 -1.593 4.300
1.593 1.593 -4.300
B P
1 2
Direct
0.000 0.000 0.000 B
0.128 0.628 0.500 P
0.372 0.872 0.500 P
```

=====

[9]
Below is an optimized crystal structure of B2P, with properties calculated at the GGA-PBE level.

Computed properties:
Energy of formation from the pure elements (eV/atom): 0.05
Total DFT energy (no corrections) (hartree per atom): -0.2279
SG: No. 2

Cell and atoms, written as POSCAR:
```
B2P
1.0
3.148 0.000 0.000
-0.603 4.044 0.000
-0.417 -1.310 4.633
B P
4 2
Direct
0.011 0.146 0.177 B
0.271 0.092 0.539 B
0.729 0.908 0.461 B
0.989 0.854 0.823 B
0.432 0.560 0.798 P
0.568 0.440 0.202 P
```

=====

[10]
Below is an optimized crystal structure of B3P, with properties calculated at the GGA-PBE level.

Computed properties:
Energy of formation from the pure elements (eV/atom): 0.30
Total DFT energy (no corrections) (hartree per atom): -0.2228
SG: No. 8

Cell and atoms, written as POSCAR:
```
B3P
1.0
2.707 -1.565 0.000
2.707 1.565 0.000
-1.271 0.000 5.024
B P
3 1
Direct
0.000 0.000 0.000 B
0.510 0.510 0.127 B
0.940 0.940 0.651 B
0.576 0.576 0.520 P
```

=====

[11]
Below is an optimized crystal structure of BP2, with properties calculated at the GGA-PBE level.

Computed properties:
Energy of formation from the pure elements (eV/atom): 0.27
Total DFT energy (no corrections) (hartree per atom): -0.2045
SG: No. 21

Cell and atoms, written as POSCAR:
```
BP2
1.0
1.848 -2.708 0.000
1.848 2.708 0.000
0.000 0.000 3.842
B P
1 2
Direct
0.000 0.000 0.000 B
0.000 0.500 0.288 P
0.500 0.000 0.712 P
```

=====

[12]
Below is an optimized crystal structure of B2P, with properties calculated at the GGA-PBE level.

Computed properties:
Energy of formation from the pure elements (eV/atom): 0.06
Total DFT energy (no corrections) (hartree per atom): -0.2277
SG: No. 42

Cell and atoms, written as POSCAR:
```
B2P
1.0
0.000 7.842 2.700
1.561 0.000 2.700
1.561 7.842 0.000
B P
4 2
Direct
0.056 0.944 0.056 B
0.099 0.554 0.446 B
0.554 0.099 0.901 B
0.944 0.056 0.944 B
0.230 0.437 0.563 P
0.437 0.230 0.770 P
```

=====

Q: Look up the total DFT energy (no corrections) of the fourth one.
A: -0.2292 hartree per atom

=====

Repeat the sixth record exactly.
Below is an optimized crystal structure of B3P, with properties calculated at the GGA-PBE level.

Computed properties:
Energy of formation from the pure elements (eV/atom): 0.16
Total DFT energy (no corrections) (hartree per atom): -0.2279
SG: No. 8

Cell and atoms, written as POSCAR:
```
B3P
1.0
2.719 -1.547 0.000
2.719 1.547 0.000
-2.040 0.000 4.280
B P
3 1
Direct
0.000 0.000 0.000 B
0.023 0.023 0.614 B
0.694 0.694 0.636 B
0.726 0.726 0.178 P
```